First-principles (PBE) data for a relaxed structure of Pr2MnSiPt6, as listed in Alexandria via LeMat-Bulk.

a b c (Å): 11.7514 5.5266 8.3031
angles (deg): 90.00 131.50 90.00
Space group C2/m (No. 12)
Symmetry-distinct sites (fractional):
Pr 0.2384 0.0000 0.1987
Mn 0.0000 0.5000 0.0000
Si 0.0000 0.0000 0.5000
Pt 0.0008 0.2516 0.7403
Pt 0.2496 0.0000 0.6124

Results
Crystal system: monoclinic
Formation energy from raw total energies in meV/atom: -789

***

First-principles (PBE) data for a relaxed structure of Pr2MnSn4Pt3, as listed in Alexandria via LeMat-Bulk.

a b c (Å): 4.4769 4.4769 11.3620
angles (deg): 90.00 90.00 90.00
Space group P-4m2 (No. 115)
Symmetry-distinct sites (fractional):
Pr 0.0000 0.5000 0.2441
Mn 0.5000 0.5000 0.0000
Sn 0.0000 0.0000 0.5000
Sn 0.0000 0.5000 0.8661
Sn 0.5000 0.5000 0.5000
Pt 0.0000 0.0000 0.0000
Pt 0.0000 0.5000 0.6343

Results
Formation enthalpy at 0 K in eV per atom: -0.72
Crystal system: tetragonal

***

First-principles (PBE) data for a relaxed structure of PrPuMn, as listed in Alexandria via LeMat-Bulk.

a b c (Å): 3.5168 3.5168 11.5712
angles (deg): 90.00 90.00 90.00
Space group I4mm (No. 107)
Symmetry-distinct sites (fractional):
Pr 0.0000 0.0000 0.0000
Pu 0.0000 0.0000 0.2868
Mn 0.0000 0.0000 0.6858

Results
Formation enthalpy at 0 K in eV per atom: 0.18
Excess energy over the best structure of this formula in the dataset in meV/atom: 0
Crystal system: tetragonal

***

First-principles (PBE) data for a relaxed structure of PrPuMn, as listed in Alexandria via LeMat-Bulk.

a b c (Å): 6.4349 3.7017 13.1340
angles (deg): 90.00 99.14 90.00
Space group C2/m (No. 12)
Symmetry-distinct sites (fractional):
Pr 0.2023 0.0000 0.1150
Pu 0.0518 0.0000 0.6607
Mn 0.1615 0.5000 0.4844

Results
Formation enthalpy at 0 K in eV per atom: 0.25
Excess energy over the best structure of this formula in the dataset in meV/atom: 65
Crystal system: monoclinic

***

Number 1: density of states at the Fermi level 4.75 states/eV/f.u., raw total energy -0.502 Ry/atom. Number 2: density of states at the Fermi level 5.20 states/eV/f.u., raw total energy -0.442 Ry/atom. Number 3: density of states at the Fermi level 6.10 states/eV/f.u., raw total energy -0.679 Ry/atom. Number 4: density of states at the Fermi level 9.68 states/eV/f.u., raw total energy -0.675 Ry/atom.